! LiBeZnPtI (GGA-PBE, relaxed); values from VASP
&SYSTEM
  ibrav = 0, nat = 5, ntyp = 5
/
ATOMIC_SPECIES
Li 6.94 Li.upf
Be 9.01 Be.upf
Zn 65.41 Zn.upf
Pt 195.08 Pt.upf
I 126.90 I.upf
ATOMIC_POSITIONS crystal
Li 0.3594 0.0268 0.5870
Be 0.4908 0.1688 0.1880
Zn 0.7967 0.4755 0.2700
Pt 0.1258 0.8062 0.2823
I 0.6186 0.2899 0.8084
CELL_PARAMETERS angstrom
-1.9273 -0.8179 3.6833
2.2676 -1.3901 3.3072
1.1061 5.4752 4.2074
! - DOS at the Fermi energy: 0.67 states/eV/cell
! - Relative energy among the computed polymorphs: 49.6 meV per atom
! - Space-group type: P1, No. 1
! - Uncorrected formation energy: -406.3 meV/atom
! - Crystal system: triclinic
! - Total magnetic moment: 0.00 μB/cell